# 1
A relaxed structure of CoNiRh2, computed with PBE.

Cell and atoms, written as POSCAR:
```
CoNiRh2
1.0
2.302 -1.331 0.000
2.302 1.331 0.000
-1.518 0.000 8.450
Co Ni Rh
1 1 2
Cartesian
0.000 0.000 0.000
0.003 0.000 4.208
1.537 0.000 2.093
1.540 0.000 6.339
```

## Properties
Density of states at the Fermi level: 1.5881 states/eV per atom
Energy relative to the elements: 66 meV/atom
Calculated volume: 12.95 Å³/atom
Electronic total energy: -6.832 eV per atom
Crystal system: monoclinic
Energy relative to the lowest polymorph listed for this composition: 11 meV per atom
Magnetic moment: 3.87 μB per formula unit



# 2
A relaxed structure of RbNa2Tc, computed with PBE.

Cell and atoms, written as POSCAR:
```
RbNa2Tc
1.0
0.000 4.068 4.068
4.068 0.000 4.068
4.068 4.068 0.000
Rb Na Tc
1 2 1
Cartesian
0.000 0.000 0.000
2.034 2.034 2.034
6.102 6.102 6.102
4.068 4.068 4.068
```

## Properties
Density of states at the Fermi level: 2.3211 states/eV per atom
Energy relative to the elements: 1123 meV/atom
Calculated volume: 33.67 Å³/atom
Electronic total energy: -2.370 eV per atom
Crystal system: cubic
Energy relative to the lowest polymorph listed for this composition: 0 meV per atom
Magnetic moment: 3.45 μB per formula unit



# 3
A relaxed structure of AcMgScAu, computed with PBE.

Cell and atoms, written as POSCAR:
```
AcMgScAu
1.0
0.000 3.769 3.769
3.769 0.000 3.769
3.769 3.769 0.000
Ac Mg Sc Au
1 1 1 1
Cartesian
0.000 0.000 0.000
1.885 1.885 1.885
3.769 3.769 3.769
5.654 5.654 5.654
```

## Properties
Density of states at the Fermi level: 0.8145 states/eV per atom
Energy relative to the elements: -259 meV/atom
Calculated volume: 26.78 Å³/atom
Electronic total energy: -4.087 eV per atom
Crystal system: cubic
Magnetic moment: 0.00 μB per formula unit



# 4
A relaxed structure of Tb8PmIn2, computed with PBE.

Cell and atoms, written as POSCAR:
```
Tb8PmIn2
1.0
9.438 -3.436 0.000
9.438 3.436 0.000
-0.312 0.000 5.346
Tb Pm In
8 1 2
Cartesian
0.793 0.000 1.274
6.815 1.793 1.458
5.439 0.000 4.095
11.748 1.793 3.888
6.815 -1.793 1.458
13.125 0.000 1.251
11.748 -1.793 3.888
17.771 0.000 4.072
9.438 0.000 0.000
3.929 0.000 1.305
14.635 0.000 4.041
```

## Properties
Density of states at the Fermi level: 1.3812 states/eV per atom
Energy relative to the elements: -51 meV/atom
Calculated volume: 31.52 Å³/atom
Electronic total energy: -4.348 eV per atom
Crystal system: monoclinic
Magnetic moment: 0.00 μB per formula unit



# 5
A relaxed structure of Na3HoU2Te6, computed with PBE.

Cell and atoms, written as POSCAR:
```
Na3HoU2Te6
1.0
3.826 -6.626 0.000
3.826 6.626 0.000
-2.550 0.000 7.610
Na Ho U Te
3 1 2 6
Cartesian
0.000 0.000 0.000
3.826 2.217 0.000
3.826 -2.217 0.000
2.550 0.000 3.805
2.550 4.417 3.805
2.550 -4.417 3.805
1.289 2.185 2.014
0.027 0.000 5.594
1.289 -2.185 2.014
3.812 2.185 5.595
5.074 0.000 2.016
3.812 -2.185 5.595
```

## Properties
Density of states at the Fermi level: 1.0483 states/eV per atom
E_form (uncorrected): -0.94 eV per atom
Calculated volume: 32.15 Å³/atom
Electronic total energy: -5.103 eV per atom
Crystal system: monoclinic
Magnetic moment: 6.01 μB per formula unit



# 6
A relaxed structure of Cs2SrMn2, computed with PBE.

Cell and atoms, written as POSCAR:
```
Cs2SrMn2
1.0
-2.906 2.906 6.656
2.906 -2.906 6.656
2.906 2.906 -6.656
Cs Sr Mn
2 1 2
Cartesian
0.000 0.000 1.730
0.000 0.000 11.581
0.000 0.000 6.656
2.906 0.000 3.328
0.000 2.906 3.328
```

## Properties
Density of states at the Fermi level: 1.3231 states/eV per atom
Energy relative to the elements: 1215 meV/atom
Calculated volume: 44.98 Å³/atom
Electronic total energy: -3.130 eV per atom
Crystal system: tetragonal
Magnetic moment: 7.99 μB per formula unit



# 7
A relaxed structure of CaAlAg2, computed with PBE.

Cell and atoms, written as POSCAR:
```
CaAlAg2
1.0
3.514 0.000 0.000
0.000 3.514 0.000
0.000 0.000 6.876
Ca Al Ag
1 1 2
Cartesian
0.000 0.000 0.000
1.757 1.757 4.752
0.000 0.000 3.549
1.757 1.757 1.967
```

## Properties
Density of states at the Fermi level: 0.4957 states/eV per atom
Energy relative to the elements: -136 meV/atom
Calculated volume: 21.23 Å³/atom
Electronic total energy: -2.997 eV per atom
Crystal system: tetragonal
Magnetic moment: 0.00 μB per formula unit



# 8
A relaxed structure of ReBr4, computed with PBE.

Cell and atoms, written as POSCAR:
```
ReBr4
1.0
5.064 0.000 0.000
0.000 5.064 0.000
0.000 0.000 5.064
Re Br
1 4
Cartesian
0.000 0.000 0.000
0.000 0.000 2.532
0.000 2.532 0.000
2.532 0.000 0.000
2.532 2.532 2.532
```

## Properties
Density of states at the Fermi level: 1.0210 states/eV per atom
E_form (uncorrected): 0.40 eV per atom
Calculated volume: 25.97 Å³/atom
Electronic total energy: -3.430 eV per atom
Crystal system: cubic
Energy relative to the lowest polymorph listed for this composition: 277 meV per atom
Magnetic moment: 1.43 μB per formula unit